Entry 1:
Compound: Li2AsH2
Source: Alexandria
Functional: GGA-PBE
Structure: optimized geometry

```
Li2AsH2
1.0
-0.546 4.630 -4.517
-3.865 -3.868 -3.497
-2.308 1.066 1.372
Li As H
4 2 4
direct
0.721 0.779 0.500 Li
0.779 0.279 0.500 Li
0.279 0.221 0.500 Li
0.221 0.721 0.500 Li
0.000 0.000 0.000 As
0.500 0.500 0.000 As
0.458 0.958 0.000 H
0.958 0.542 0.000 H
0.542 0.042 0.000 H
0.042 0.458 0.000 H
```

Output
Energy relative to the lowest polymorph listed for this composition: 0 meV per atom
Crystal system: tetragonal
Density: 2.48 g/cm³

***

Entry 2:
Compound: Li6As2H
Source: Alexandria
Functional: GGA-PBE
Structure: optimized geometry

```
Li6As2H
1.0
-2.965 -1.144 4.673
1.944 -5.306 -0.065
6.004 2.146 4.335
As Li H
4 12 2
direct
0.000 0.500 0.250 As
0.000 0.500 0.750 As
0.500 0.000 0.250 As
0.500 0.000 0.750 As
0.262 0.738 0.000 Li
0.738 0.738 0.000 Li
0.000 0.000 0.257 Li
0.000 0.000 0.743 Li
0.738 0.262 0.000 Li
0.262 0.262 0.000 Li
0.238 0.762 0.500 Li
0.238 0.238 0.500 Li
0.762 0.238 0.500 Li
0.762 0.762 0.500 Li
0.500 0.500 0.757 Li
0.500 0.500 0.243 Li
0.500 0.500 0.000 H
0.000 0.000 0.500 H
```

Output
Energy relative to the lowest polymorph listed for this composition: 0 meV per atom
Crystal system: tetragonal
Density: 2.60 g/cm³

***

Entry 3:
Compound: Li4As2H
Source: Alexandria
Functional: GGA-PBE
Structure: optimized geometry

```
Li4As2H
1.0
4.203 0.000 1.361
1.881 3.758 1.361
-0.088 -0.054 7.442
Li As H
4 2 1
direct
0.786 0.786 0.641 Li
0.609 0.609 0.174 Li
0.391 0.391 0.826 Li
0.214 0.214 0.359 Li
0.915 0.915 0.256 As
0.085 0.085 0.744 As
0.000 0.000 0.000 H
```

Output
Energy relative to the lowest polymorph listed for this composition: 15 meV per atom
Crystal system: trigonal
Density: 2.51 g/cm³

***

Entry 4:
Compound: Li12As3H5
Source: Alexandria
Functional: GGA-PBE
Structure: optimized geometry

```
Li12As3H5
1.0
-3.274 -3.850 10.043
0.678 -8.561 -7.256
10.072 4.900 0.967
Li H As
48 20 12
direct
0.383 0.401 0.087 Li
0.204 0.686 0.087 Li
0.314 0.796 0.413 Li
0.018 0.617 0.704 Li
0.482 0.796 0.883 Li
0.901 0.087 0.883 Li
0.018 0.401 0.814 Li
0.814 0.901 0.018 Li
0.413 0.296 0.314 Li
0.686 0.204 0.587 Li
0.913 0.099 0.617 Li
0.599 0.982 0.686 Li
0.117 0.413 0.099 Li
0.204 0.518 0.617 Li
0.087 0.186 0.204 Li
0.617 0.599 0.913 Li
0.982 0.383 0.296 Li
0.599 0.617 0.413 Li
0.186 0.099 0.982 Li
0.186 0.087 0.704 Li
0.413 0.117 0.599 Li
0.796 0.314 0.913 Li
0.814 0.913 0.296 Li
0.901 0.814 0.518 Li
0.686 0.482 0.599 Li
0.883 0.296 0.482 Li
0.704 0.587 0.186 Li
0.314 0.518 0.401 Li
0.296 0.413 0.814 Li
0.296 0.883 0.982 Li
0.617 0.018 0.204 Li
0.518 0.314 0.901 Li
0.099 0.913 0.117 Li
0.982 0.599 0.186 Li
0.401 0.383 0.587 Li
0.087 0.901 0.383 Li
0.704 0.117 0.018 Li
0.482 0.686 0.099 Li
0.796 0.482 0.383 Li
0.587 0.704 0.686 Li
0.587 0.883 0.401 Li
0.099 0.186 0.482 Li
0.913 0.814 0.796 Li
0.383 0.982 0.796 Li
0.401 0.018 0.314 Li
0.117 0.704 0.518 Li
0.883 0.587 0.901 Li
0.518 0.204 0.117 Li
0.000 0.000 0.000 H
0.250 0.875 0.125 H
0.500 0.500 0.500 H
0.875 0.250 0.625 H
0.000 0.000 0.500 H
0.000 0.500 0.500 H
0.375 0.250 0.125 H
0.625 0.750 0.875 H
0.250 0.375 0.625 H
0.000 0.500 0.000 H
0.500 0.000 0.000 H
0.625 0.875 0.250 H
0.125 0.750 0.375 H
0.750 0.125 0.875 H
0.500 0.000 0.500 H
0.500 0.500 0.000 H
0.125 0.375 0.250 H
0.375 0.125 0.750 H
0.750 0.625 0.375 H
0.875 0.625 0.750 H
0.875 0.750 0.125 As
0.250 0.125 0.375 As
0.625 0.375 0.750 As
0.250 0.625 0.875 As
0.375 0.750 0.625 As
0.375 0.625 0.250 As
0.750 0.375 0.125 As
0.125 0.250 0.875 As
0.750 0.875 0.625 As
0.875 0.125 0.250 As
0.625 0.250 0.375 As
0.125 0.875 0.750 As
```

Output
Calculated total energy: -247.71 eV for the cell shown
Crystal system: cubic
Density: 1.90 g/cm³

***

Entry 5:
Compound: Li2AsH6
Source: Alexandria
Functional: GGA-PBE
Structure: optimized geometry

```
Li2AsH6
1.0
4.138 0.000 2.389
1.379 3.902 2.389
0.000 0.000 4.779
H Li As
6 2 1
direct
0.259 0.259 0.741 H
0.259 0.741 0.259 H
0.741 0.259 0.259 H
0.741 0.741 0.259 H
0.741 0.259 0.741 H
0.259 0.741 0.741 H
0.250 0.250 0.250 Li
0.750 0.750 0.750 Li
0.000 0.000 0.000 As
```

Output
Calculated total energy: -26.45 eV for the cell shown
Crystal system: cubic
Density: 2.04 g/cm³

***

Entry 6:
Compound: Li2As2H
Source: Alexandria
Functional: GGA-PBE
Structure: optimized geometry

```
Li2As2H
1.0
-1.585 0.508 -3.227
0.891 -3.384 -0.970
-6.560 -3.840 0.576
Li H As
2 1 2
direct
0.598 0.598 0.805 Li
0.402 0.402 0.195 Li
0.000 0.000 0.000 H
0.250 0.750 0.500 As
0.750 0.250 0.500 As
```

Output
Energy relative to the lowest polymorph listed for this composition: 38 meV per atom
Crystal system: tetragonal
Density: 2.89 g/cm³